Record 1
# Hf2Cr2Ga

A relaxed Hf2Cr2Ga crystal (PBE, the Alexandria database).

DOS at the Fermi energy (states/eV per atom): 0.90
Energy above the lowest structure with this stoichiometry (meV/atom): 428

Cell: 7.5890 7.5890 3.2368 Å, 90.00 90.00 90.00°
Sites, in units of the cell vectors:
1 Hf 0.1542 0.3458 0.0000
2 Hf 0.3458 0.8458 0.0000
3 Hf 0.6542 0.1542 0.0000
4 Hf 0.8458 0.6542 0.0000
5 Cr 0.1383 0.6383 0.5000
6 Cr 0.3617 0.1383 0.5000
7 Cr 0.6383 0.8617 0.5000
8 Cr 0.8617 0.3617 0.5000
9 Ga 0.0000 0.0000 0.0000
10 Ga 0.5000 0.5000 0.0000

---

Record 2
# Hf3CrGa

A relaxed Hf3CrGa crystal (PBE, the Alexandria database).

DOS at the Fermi energy (states/eV per atom): 1.71
Energy above the lowest structure with this stoichiometry (meV/atom): 0

Cell: 4.7788 4.7788 4.7788 Å, 90.00 90.00 90.00°
Sites, in units of the cell vectors:
1 Hf 0.0000 0.0000 0.5000
2 Hf 0.0000 0.5000 0.0000
3 Hf 0.5000 0.0000 0.0000
4 Cr 0.0000 0.0000 0.0000
5 Ga 0.5000 0.5000 0.5000

---

Record 3
# Hf2Cr2Ga

A relaxed Hf2Cr2Ga crystal (PBE, the Alexandria database).

DOS at the Fermi energy (states/eV per atom): 1.21
Energy above the lowest structure with this stoichiometry (meV/atom): 243

Cell: 8.8491 8.8491 8.8491 Å, 159.22 159.22 29.55°
Sites, in units of the cell vectors:
1 Hf 0.1100 0.1100 0.0000
2 Hf 0.8900 0.8900 0.0000
3 Cr 0.2500 0.7500 0.5000
4 Cr 0.7500 0.2500 0.5000
5 Ga 0.5000 0.5000 0.0000

---

Record 4
# Hf2Cr2Ga

A relaxed Hf2Cr2Ga crystal (PBE, the Alexandria database).

DOS at the Fermi energy (states/eV per atom): 1.13
Energy above the lowest structure with this stoichiometry (meV/atom): 0

Cell: 6.4650 6.4650 4.0398 Å, 90.00 90.00 90.00°
Sites, in units of the cell vectors:
1 Hf 0.1813 0.3187 0.0000
2 Hf 0.3187 0.8187 0.0000
3 Hf 0.6813 0.1813 0.0000
4 Hf 0.8187 0.6813 0.0000
5 Cr 0.1104 0.6104 0.5000
6 Cr 0.3896 0.1104 0.5000
7 Cr 0.6104 0.8896 0.5000
8 Cr 0.8896 0.3896 0.5000
9 Ga 0.0000 0.0000 0.5000
10 Ga 0.5000 0.5000 0.5000

---

Record 5
# Hf2CrGa

A relaxed Hf2CrGa crystal (PBE, the Alexandria database).

DOS at the Fermi energy (states/eV per atom): 0.88

Cell: 10.0841 10.0841 10.0841 Å, 156.66 156.66 33.25°
Sites, in units of the cell vectors:
1 Hf 0.1237 0.6250 0.9987
2 Hf 0.3750 0.3737 0.4987
3 Hf 0.6263 0.1250 0.0013
4 Hf 0.8750 0.8763 0.5013
5 Cr 0.2500 0.7500 0.5000
6 Cr 0.5000 0.5000 0.0000
7 Ga 0.0000 0.0000 0.0000
8 Ga 0.7500 0.2500 0.5000

---

Record 6
# Hf2CrGa

A relaxed Hf2CrGa crystal (PBE, the Alexandria database).

DOS at the Fermi energy (states/eV per atom): 1.00

Cell: 10.1027 10.1027 10.1027 Å, 17.04 17.04 17.04°
Sites, in units of the cell vectors:
1 Hf 0.0867 0.0867 0.0867
2 Hf 0.9133 0.9133 0.9133
3 Cr 0.0000 0.0000 0.0000
4 Ga 0.5000 0.5000 0.5000

---

Record 7
# HfCr2Ga

A relaxed HfCr2Ga crystal (PBE, the Alexandria database).

DOS at the Fermi energy (states/eV per atom): 1.09

Cell: 5.6028 5.6028 5.6028 Å, 102.60 102.60 124.32°
Sites, in units of the cell vectors:
1 Hf 0.0000 0.0000 0.0000
2 Hf 0.7500 0.2500 0.5000
3 Cr 0.1537 0.6250 0.0287
4 Cr 0.3750 0.4037 0.5287
5 Cr 0.5963 0.1250 0.9713
6 Cr 0.8750 0.8463 0.4713
7 Ga 0.2500 0.7500 0.5000
8 Ga 0.5000 0.5000 0.0000

---

Record 8
# Hf2CrGa2

A relaxed Hf2CrGa2 crystal (PBE, the Alexandria database).

DOS at the Fermi energy (states/eV per atom): 0.96

Cell: 6.7669 6.7669 3.7751 Å, 90.00 90.00 90.00°
Sites, in units of the cell vectors:
1 Hf 0.1762 0.3238 0.0000
2 Hf 0.3238 0.8238 0.0000
3 Hf 0.6762 0.1762 0.0000
4 Hf 0.8238 0.6762 0.0000
5 Cr 0.0000 0.0000 0.5000
6 Cr 0.5000 0.5000 0.5000
7 Ga 0.1304 0.6304 0.5000
8 Ga 0.3696 0.1304 0.5000
9 Ga 0.6304 0.8696 0.5000
10 Ga 0.8696 0.3696 0.5000

---

Number 1: ΔH_f (0 K) 0.38 eV/atom, M_tot 1.06 μB/atom, uncorrected energy -80.52 eV per cell. Number 2: ΔH_f (0 K) 0.57 eV/atom, M_tot 0.00 μB/atom, uncorrected energy -39.65 eV per cell. Number 3: ΔH_f (0 K) 0.20 eV/atom, M_tot 0.00 μB/atom, uncorrected energy -41.18 eV per cell. Number 4: ΔH_f (0 K) -0.04 eV/atom, M_tot 0.00 μB/atom, uncorrected energy -84.80 eV per cell. Number 5: ΔH_f (0 K) 0.54 eV/atom, M_tot 0.62 μB/atom, uncorrected energy -60.82 eV per cell. Number 6: ΔH_f (0 K) 0.42 eV/atom, M_tot 0.57 μB/atom, uncorrected energy -30.89 eV per cell. Number 7: ΔH_f (0 K) 0.66 eV/atom, M_tot 0.23 μB/atom, uncorrected energy -59.14 eV per cell. Number 8: ΔH_f (0 K) -0.25 eV/atom, M_tot 0.00 μB/atom, uncorrected energy -73.68 eV per cell.